[1]
# Li3Se

A relaxed Li3Se crystal (PBE, Alexandria via LeMat-Bulk).

Cell: 4.9376 4.9376 4.9376 Å, 90.00 90.00 90.00°
Sites, in units of the cell vectors:
1 Li 0.0000 0.0000 0.5000
2 Li 0.0000 0.5000 0.0000
3 Li 0.5000 0.0000 0.0000
4 Se 0.0000 0.0000 0.0000

relative energy among the computed polymorphs	0.76	eV/f.u.
SG	No. 221
formation energy (no corrections)	-0.645	eV/atom
electronic total energy	-0.217	Ry per atom
size of the total moment	0.73	Bohr magnetons per cell

---

[2]
# Li3Se

A relaxed Li3Se crystal (PBE, Alexandria via LeMat-Bulk).

Cell: 5.9308 5.9308 4.2156 Å, 90.00 90.00 120.00°
Sites, in units of the cell vectors:
1 Li 0.1729 0.3458 0.2500
2 Li 0.1729 0.8271 0.2500
3 Li 0.3458 0.1729 0.7500
4 Li 0.6542 0.8271 0.2500
5 Li 0.8271 0.1729 0.7500
6 Li 0.8271 0.6542 0.7500
7 Se 0.3333 0.6667 0.7500
8 Se 0.6667 0.3333 0.2500

relative energy among the computed polymorphs	0.00	eV/f.u.
SG	No. 194
formation energy (no corrections)	-0.834	eV/atom
electronic total energy	-0.231	Ry per atom
size of the total moment	0.00	Bohr magnetons per cell

---

[3]
# Li5Se

A relaxed Li5Se crystal (PBE, Alexandria via LeMat-Bulk).

Cell: 10.0755 3.6441 6.2559 Å, 90.00 107.45 90.00°
Sites, in units of the cell vectors:
1 Li 0.0000 0.0000 0.0000
2 Li 0.0257 0.0000 0.4627
3 Li 0.1581 0.5000 0.8065
4 Li 0.2890 0.0000 0.1537
5 Li 0.3157 0.0000 0.6171
6 Li 0.5000 0.5000 0.0000
7 Li 0.5257 0.5000 0.4627
8 Li 0.6581 0.0000 0.8065
9 Li 0.7890 0.5000 0.1537
10 Li 0.8157 0.5000 0.6171
11 Se 0.1580 0.5000 0.3101
12 Se 0.6580 0.0000 0.3101

relative energy among the computed polymorphs	0.32	eV/f.u.
SG	No. 8
formation energy (no corrections)	-0.469	eV/atom
electronic total energy	-0.194	Ry per atom
size of the total moment	0.00	Bohr magnetons per cell

---

[4]
# Li3Se

A relaxed Li3Se crystal (PBE, Alexandria via LeMat-Bulk).

Cell: 6.5040 6.5040 6.5040 Å, 90.00 90.00 90.00°
Sites, in units of the cell vectors:
1 Li 0.0000 0.0000 0.0000
2 Li 0.0000 0.5000 0.5000
3 Li 0.2500 0.2500 0.2500
4 Li 0.2500 0.2500 0.7500
5 Li 0.2500 0.7500 0.2500
6 Li 0.2500 0.7500 0.7500
7 Li 0.5000 0.0000 0.5000
8 Li 0.5000 0.5000 0.0000
9 Li 0.7500 0.2500 0.2500
10 Li 0.7500 0.2500 0.7500
11 Li 0.7500 0.7500 0.2500
12 Li 0.7500 0.7500 0.7500
13 Se 0.0000 0.0000 0.5000
14 Se 0.0000 0.5000 0.0000
15 Se 0.5000 0.0000 0.0000
16 Se 0.5000 0.5000 0.5000

relative energy among the computed polymorphs	0.88	eV/f.u.
SG	No. 225
formation energy (no corrections)	-0.614	eV/atom
electronic total energy	-0.215	Ry per atom
size of the total moment	1.54	Bohr magnetons per cell